A plane-wave DFT calculation with SCAN was carried out for a crystal of KCr2Te relaxed with PBEsol.

a = 4.574 Å, b = 4.574 Å, c = 4.528 Å
α = 90.00°, β = 90.00°, γ = 90.00°
Positions (direct):
K 0.000 0.000 0.000
Cr 0.000 0.500 0.500
Cr 0.500 0.000 0.500
Te 0.500 0.500 0.000

Summary:
Raw formation energy = 349 meV/atom
Electronic total energy = -20.2380 eV/atom
Magnetic moment = 9.59 Bohr magnetons per cell
Space-group type = No. 123